No. 1
# Li2H6N, relaxed, DFT PBE
# E ... -2.997 eV/atom
# Total moment ... 0.00 Bohr magnetons per cell
# DOS(E_F) ... 0.129 states/eV/atom
data_Li2H6N
_cell_length_a 5.726
_cell_length_b 5.726
_cell_length_c 5.726
_cell_angle_alpha 90.00
_cell_angle_beta 90.00
_cell_angle_gamma 90.00
_space_group_name_H-M_alt 'F m -3 m'
_space_group_IT_number 225
_space_group_name_Hall '-F 4 2 3'
loop_
_atom_site_label
_atom_site_fract_x
_atom_site_fract_y
_atom_site_fract_z
Li1 0.250 0.250 0.250
H1 0.000 0.000 0.225
N1 0.000 0.000 0.500

=====

No. 2
# Li2HN, relaxed, DFT PBE
# E ... -4.371 eV/atom
# Total moment ... 0.00 Bohr magnetons per cell
# DOS(E_F) ... 0.000 states/eV/atom
data_Li2HN
_cell_length_a 7.087
_cell_length_b 7.147
_cell_length_c 10.143
_cell_angle_alpha 90.00
_cell_angle_beta 90.00
_cell_angle_gamma 90.00
_space_group_name_H-M_alt 'I m m a'
_space_group_IT_number 74
_space_group_name_Hall '-I 2b 2'
loop_
_atom_site_label
_atom_site_fract_x
_atom_site_fract_y
_atom_site_fract_z
Li1 0.000 0.250 0.105
Li2 0.000 0.250 0.383
Li3 0.000 0.250 0.877
Li4 0.233 0.007 0.885
Li5 0.250 0.250 0.250
H1 0.000 0.082 0.696
H2 0.141 0.250 0.551
N1 0.000 0.032 0.240
N2 0.240 0.250 0.008

=====

No. 3
# Li2HN, relaxed, DFT PBE
# E ... -4.355 eV/atom
# Total moment ... 0.00 Bohr magnetons per cell
# DOS(E_F) ... 0.000 states/eV/atom
data_Li2HN
_cell_length_a 5.946
_cell_length_b 3.517
_cell_length_c 6.300
_cell_angle_alpha 90.00
_cell_angle_beta 90.00
_cell_angle_gamma 90.00
_space_group_name_H-M_alt 'P n m a'
_space_group_IT_number 62
loop_
_space_group_symop_operation_xyz
'x,y,z'
'-x,-y,-z'
'-x+1/2,-y,z+1/2'
'x+1/2,y,-z+1/2'
'x+1/2,-y+1/2,-z+1/2'
'-x+1/2,y+1/2,z+1/2'
'-x,y+1/2,-z'
'x,-y+1/2,z'
loop_
_atom_site_label
_atom_site_fract_x
_atom_site_fract_y
_atom_site_fract_z
Li1 0.121 0.250 0.073
Li2 0.158 0.250 0.712
H1 0.115 0.250 0.393
N1 0.211 0.750 0.895

=====

No. 4
# Li2HN, relaxed, DFT PBE
# E ... -4.316 eV/atom
# Total moment ... 0.00 Bohr magnetons per cell
# DOS(E_F) ... 0.000 states/eV/atom
data_Li2HN
_cell_length_a 3.576
_cell_length_b 5.503
_cell_length_c 3.308
_cell_angle_alpha 90.00
_cell_angle_beta 90.00
_cell_angle_gamma 90.00
_space_group_name_H-M_alt 'I m m 2'
_space_group_IT_number 44
loop_
_space_group_symop_operation_xyz
'x,y,z'
'-x,-y,z'
'-x,y,z'
'x,-y,z'
'x+1/2,y+1/2,z+1/2'
'-x+1/2,-y+1/2,z+1/2'
'-x+1/2,y+1/2,z+1/2'
'x+1/2,-y+1/2,z+1/2'
loop_
_atom_site_label
_atom_site_fract_x
_atom_site_fract_y
_atom_site_fract_z
Li1 0.000 0.211 0.000
H1 0.000 0.500 0.250
N1 0.000 0.500 0.563

=====

No. 5
# LiH3N, relaxed, DFT PBE
# E ... -2.405 eV/atom
# Total moment ... 0.00 Bohr magnetons per cell
# DOS(E_F) ... 0.332 states/eV/atom
data_LiH3N
_cell_length_a 3.096
_cell_length_b 3.096
_cell_length_c 3.096
_cell_angle_alpha 90.00
_cell_angle_beta 90.00
_cell_angle_gamma 90.00
_space_group_name_H-M_alt 'P m -3 m'
_space_group_IT_number 221
_space_group_name_Hall '-P 4 2 3'
loop_
_atom_site_label
_atom_site_fract_x
_atom_site_fract_y
_atom_site_fract_z
Li1 0.000 0.000 0.000
H1 0.000 0.000 0.500
N1 0.500 0.500 0.500

=====

No. 6
# Li6H3N, relaxed, DFT PBE
# E ... -3.322 eV/atom
# Total moment ... 0.00 Bohr magnetons per cell
data_Li6H3N
_cell_length_a 7.783
_cell_length_b 3.275
_cell_length_c 8.160
_cell_angle_alpha 90.00
_cell_angle_beta 117.67
_cell_angle_gamma 90.00
_space_group_name_H-M_alt 'P 1 21/m 1'
_space_group_IT_number 11
loop_
_space_group_symop_operation_xyz
'x,y,z'
'-x,-y,-z'
'-x,y+1/2,-z'
'x,-y+1/2,z'
loop_
_atom_site_label
_atom_site_fract_x
_atom_site_fract_y
_atom_site_fract_z
Li1 0.007 0.250 0.158
Li2 0.104 0.750 0.410
Li3 0.280 0.250 0.653
Li4 0.280 0.750 0.239
Li5 0.366 0.250 0.010
Li6 0.442 0.750 0.548
H1 0.105 0.250 0.950
H2 0.163 0.750 0.675
H3 0.475 0.750 0.131
N1 0.273 0.250 0.397

=====

No. 7
# LiH3N, relaxed, DFT PBE
# E ... -4.296 eV/atom
# Total moment ... 0.00 Bohr magnetons per cell
# DOS(E_F) ... 0.118 states/eV/atom
data_LiH3N
_cell_length_a 3.814
_cell_length_b 5.514
_cell_length_c 6.949
_cell_angle_alpha 67.16
_cell_angle_beta 83.63
_cell_angle_gamma 70.00
_space_group_name_H-M_alt 'P 1'
_space_group_IT_number 1
loop_
_space_group_symop_operation_xyz
'x,y,z'
loop_
_atom_site_label
_atom_site_fract_x
_atom_site_fract_y
_atom_site_fract_z
Li1 0.000 0.000 0.000
Li2 0.259 0.488 0.995
H1 0.061 0.950 0.614
H2 0.092 0.562 0.380
H3 0.334 0.045 0.716
H4 0.365 0.753 0.283
H5 0.479 0.734 0.704
H6 0.500 0.434 0.289
N1 0.247 0.878 0.736
N2 0.269 0.612 0.259

=====

No. 8
# LiH3N, relaxed, DFT PBE
# E ... -4.174 eV/atom
# Total moment ... 0.00 Bohr magnetons per cell
# DOS(E_F) ... 0.194 states/eV/atom
data_LiH3N
_cell_length_a 3.6019
_cell_length_b 3.6019
_cell_length_c 16.3606
_cell_angle_alpha 90.00
_cell_angle_beta 90.00
_cell_angle_gamma 120.00
_space_group_name_H-M_alt 'R 3 m'
_space_group_IT_number 160
_space_group_name_Hall 'R 3 -2"'
loop_
_atom_site_label
_atom_site_fract_x
_atom_site_fract_y
_atom_site_fract_z
Li1 0.0000 0.0000 0.0000
H1 0.1866 0.3733 0.8443
N1 0.0000 0.0000 0.2071

=====

No. 9
# LiH2N, relaxed, DFT PBE
# E ... -4.728 eV/atom
# Total moment ... 0.00 Bohr magnetons per cell
# DOS(E_F) ... 0.000 states/eV/atom
data_LiH2N
_cell_length_a 3.907
_cell_length_b 5.705
_cell_length_c 7.175
_cell_angle_alpha 90.00
_cell_angle_beta 90.00
_cell_angle_gamma 90.00
_space_group_name_H-M_alt 'P 21 21 21'
_space_group_IT_number 19
loop_
_space_group_symop_operation_xyz
'x,y,z'
'-x+1/2,-y,z+1/2'
'x+1/2,-y+1/2,-z'
'-x,y+1/2,-z+1/2'
loop_
_atom_site_label
_atom_site_fract_x
_atom_site_fract_y
_atom_site_fract_z
Li1 0.158 0.150 0.059
H1 0.146 0.625 0.951
H2 0.164 0.466 0.765
N1 0.159 0.453 0.908

=====

No. 10
# Li2HN, relaxed, DFT PBE
# E ... -4.348 eV/atom
# Total moment ... 0.00 Bohr magnetons per cell
# DOS(E_F) ... 0.000 states/eV/atom
data_Li2HN
_cell_length_a 4.905
_cell_length_b 4.905
_cell_length_c 5.319
_cell_angle_alpha 90.00
_cell_angle_beta 90.00
_cell_angle_gamma 90.00
_space_group_name_H-M_alt 'P 42/m'
_space_group_IT_number 84
loop_
_space_group_symop_operation_xyz
'x,y,z'
'-x,-y,-z'
'-y,x,z+1/2'
'y,-x,-z+1/2'
'-x,-y,z'
'x,y,-z'
'y,-x,z+1/2'
'-y,x,-z+1/2'
loop_
_atom_site_label
_atom_site_fract_x
_atom_site_fract_y
_atom_site_fract_z
Li1 0.000 0.000 0.250
Li2 0.000 0.500 0.213
Li3 0.500 0.500 0.250
H1 0.041 0.724 0.500
N1 0.246 0.250 0.000

=====

What is the total moment in the fifth record? 0.00 Bohr magnetons per cell

=====

What did the first record say?
# Li2H6N, relaxed, DFT PBE
# E ... -2.997 eV/atom
# Total moment ... 0.00 Bohr magnetons per cell
# DOS(E_F) ... 0.129 states/eV/atom
data_Li2H6N
_cell_length_a 5.726
_cell_length_b 5.726
_cell_length_c 5.726
_cell_angle_alpha 90.00
_cell_angle_beta 90.00
_cell_angle_gamma 90.00
_space_group_name_H-M_alt 'F m -3 m'
_space_group_IT_number 225
_space_group_name_Hall '-F 4 2 3'
loop_
_atom_site_label
_atom_site_fract_x
_atom_site_fract_y
_atom_site_fract_z
Li1 0.250 0.250 0.250
H1 0.000 0.000 0.225
N1 0.000 0.000 0.500

=====

Look up the total moment of the ninth one. 0.00 Bohr magnetons per cell

=====

Copy entry 1 word for word.
# Li2H6N, relaxed, DFT PBE
# E ... -2.997 eV/atom
# Total moment ... 0.00 Bohr magnetons per cell
# DOS(E_F) ... 0.129 states/eV/atom
data_Li2H6N
_cell_length_a 5.726
_cell_length_b 5.726
_cell_length_c 5.726
_cell_angle_alpha 90.00
_cell_angle_beta 90.00
_cell_angle_gamma 90.00
_space_group_name_H-M_alt 'F m -3 m'
_space_group_IT_number 225
_space_group_name_Hall '-F 4 2 3'
loop_
_atom_site_label
_atom_site_fract_x
_atom_site_fract_y
_atom_site_fract_z
Li1 0.250 0.250 0.250
H1 0.000 0.000 0.225
N1 0.000 0.000 0.500